# PBE LaTb4Te5, relaxed
data_LaTb4Te5
_space_group_name_H-M_alt 'P 1'
_space_group_IT_number 1
_space_group_name_Hall 'P 1'
_cell_length_a 7.658
_cell_length_b 7.658
_cell_length_c 10.820
_cell_angle_alpha 118.27
_cell_angle_beta 118.27
_cell_angle_gamma 33.45
loop_
_atom_site_label
_atom_site_type_symbol
_atom_site_fract_x
_atom_site_fract_y
_atom_site_fract_z
La1 La 0.000 0.000 0.000
Tb1 Tb 0.204 0.204 0.797
Tb2 Tb 0.403 0.403 0.605
Tb3 Tb 0.597 0.597 0.395
Tb4 Tb 0.796 0.796 0.203
Te1 Te 0.000 0.000 0.500
Te2 Te 0.204 0.204 0.311
Te3 Te 0.393 0.393 0.104
Te4 Te 0.607 0.607 0.896
Te5 Te 0.796 0.796 0.689
# final energy: -52.8 eV for the cell shown
# formation energy from raw total energies: -13.68 eV per formula unit
# excess energy over the best structure of this formula in the dataset: 0.0 kJ per mole of atoms